Here is NaPm3Dy2S6 after structural relaxation from Alexandria via LeMat-Bulk. Energies are from PBE-GGA.

Results
E_form (uncorrected) ... -1953 meV/atom
Calculated density ... 6.02 g/cm3
Total energy ... -6.081 eV per atom
Crystal system ... monoclinic

abc: 8.925 8.925 7.996
angles: 102.95 102.95 25.74
Fractional positions:
Na 0.000 0.000 0.000
Pm 0.000 0.000 0.500
Pm 0.338 0.338 0.174
Pm 0.662 0.662 0.826
Dy 0.334 0.334 0.662
Dy 0.666 0.666 0.338
S 0.168 0.168 0.091
S 0.169 0.169 0.578
S 0.495 0.495 0.751
S 0.505 0.505 0.249
S 0.831 0.831 0.422
S 0.832 0.832 0.909